No. 1
CoAg2Pt (PBE, relaxed); spin magnetization = 1.9 μB per cell; energy of formation from the pure elements = 0.237 eV/atom; DFT total energy = -0.1645 hartree per atom; energy relative to the lowest polymorph listed for this composition = 14.1 kJ/mol of atoms; space-group type = No. 12; crystal system = monoclinic
1.0
-1.8168 -4.4314 2.7534
4.3967 -0.3159 -3.3300
2.0577 -0.5624 1.7213
Ag Co Pt
2 1 1
Cartesian
0.0000 0.0000 0.0000
1.2899 -2.3737 -0.2883
0.1204 -2.4969 2.2373
3.2272 -0.4391 -0.8044

=====

No. 2
CoAgPt2 (PBE, relaxed); spin magnetization = 2.6 μB per cell; energy of formation from the pure elements = 0.142 eV/atom; DFT total energy = -0.1972 hartree per atom; space-group type = No. 44; crystal system = orthorhombic
1.0
-4.8840 1.0961 2.1915
-1.9794 -3.1062 4.0363
3.7827 3.4307 -1.9442
Ag Co Pt
1 1 2
Cartesian
-3.3462 -0.9800 3.0363
-0.7200 -0.3127 2.5175
-0.1053 -0.0308 0.0956
-2.3410 1.7391 1.7481

=====

No. 3
CoAg2Pt (PBE, relaxed); spin magnetization = 1.8 μB per cell; energy of formation from the pure elements = 0.122 eV/atom; DFT total energy = -0.1687 hartree per atom; energy relative to the lowest polymorph listed for this composition = 3.0 kJ/mol of atoms; space-group type = No. 160; crystal system = trigonal
1.0
9.4072 0.0123 0.0072
8.9909 2.7674 0.0072
8.9909 1.3584 2.4111
Ag Co Pt
2 1 1
Cartesian
0.0408 0.0062 0.0036
6.6985 1.0121 0.5932
13.6204 2.0579 1.2062
20.7239 3.1311 1.8353

=====

No. 4
Co3AgPt (PBE, relaxed); spin magnetization = 6.0 μB per cell; energy of formation from the pure elements = 1.790 eV/atom; DFT total energy = -0.1563 hartree per atom; energy relative to the lowest polymorph listed for this composition = 54.6 kJ/mol of atoms; space-group type = No. 221; crystal system = cubic
1.0
-1.6118 -3.5909 2.2553
2.5343 -2.7501 -2.5676
3.3997 0.3477 2.9833
Co Ag Pt
3 1 1
Cartesian
1.2672 -1.3751 -1.2838
1.6998 0.1738 1.4916
-0.8059 -1.7954 1.1276
0.0000 0.0000 0.0000
2.1611 -2.9967 1.3355

=====

No. 5
Co2AgPt9 (PBE, relaxed); spin magnetization = 6.4 μB per cell; energy of formation from the pure elements = -0.031 eV/atom; DFT total energy = -0.2199 hartree per atom; space-group type = No. 123; crystal system = tetragonal
1.0
3.9267 0.0000 0.0000
0.0000 3.9267 0.0000
0.0000 0.0000 11.7846
Co Ag Pt
2 1 9
Cartesian
0.0000 0.0000 3.9374
0.0000 0.0000 7.8472
0.0000 0.0000 0.0000
1.9633 1.9633 0.0000
1.9633 1.9633 3.9825
1.9633 1.9633 7.8021
1.9633 0.0000 2.0761
1.9633 0.0000 5.8923
1.9633 0.0000 9.7085
0.0000 1.9633 2.0761
0.0000 1.9633 5.8923
0.0000 1.9633 9.7085

=====

No. 6
CoAg2Pt (PBE, relaxed); spin magnetization = 2.2 μB per cell; energy of formation from the pure elements = 0.238 eV/atom; DFT total energy = -0.1644 hartree per atom; energy relative to the lowest polymorph listed for this composition = 14.3 kJ/mol of atoms; space-group type = No. 119; crystal system = tetragonal
1.0
4.7785 -0.0160 0.0000
1.3847 4.5736 0.0000
-3.0816 -2.2788 2.8541
Ag Co Pt
2 1 1
Cartesian
0.0000 0.0000 0.0000
0.6923 2.2868 1.4270
3.0816 2.2788 0.0000
2.3893 -0.0080 1.4270

=====

No. 7
CoAgPt3 (PBE, relaxed); spin magnetization = 2.9 μB per cell; energy of formation from the pure elements = 1.873 eV/atom; DFT total energy = -0.1375 hartree per atom; energy relative to the lowest polymorph listed for this composition = 97.7 kJ/mol of atoms; space-group type = No. 221; crystal system = cubic
1.0
-0.7421 -2.8661 3.8445
-2.2103 -3.2479 -2.8479
4.2555 -2.1868 -0.8088
Co Ag Pt
1 1 3
Cartesian
0.6515 -4.1504 0.0939
0.0000 0.0000 0.0000
-1.1052 -1.6240 -1.4240
2.1277 -1.0934 -0.4044
-0.3710 -1.4330 1.9223

=====

No. 8
CoAg2Pt (PBE, relaxed); spin magnetization = 2.0 μB per cell; energy of formation from the pure elements = 0.270 eV/atom; DFT total energy = -0.1632 hartree per atom; energy relative to the lowest polymorph listed for this composition = 17.3 kJ/mol of atoms; space-group type = No. 47; crystal system = orthorhombic
1.0
-2.6630 0.7011 0.3307
-1.0246 -4.0147 0.2607
0.7155 0.1684 5.4052
Ag Co Pt
2 1 1
Cartesian
0.0037 0.0009 0.0282
0.3540 0.0833 2.6744
-1.6649 -1.6147 1.6470
-1.3072 -1.5305 4.3496

=====

> Which value of energy of formation from the pure elements does entry 4 give?

1.790 eV/atom

=====

Please write out number 8 again, unchanged.
CoAg2Pt (PBE, relaxed); spin magnetization = 2.0 μB per cell; energy of formation from the pure elements = 0.270 eV/atom; DFT total energy = -0.1632 hartree per atom; energy relative to the lowest polymorph listed for this composition = 17.3 kJ/mol of atoms; space-group type = No. 47; crystal system = orthorhombic
1.0
-2.6630 0.7011 0.3307
-1.0246 -4.0147 0.2607
0.7155 0.1684 5.4052
Ag Co Pt
2 1 1
Cartesian
0.0037 0.0009 0.0282
0.3540 0.0833 2.6744
-1.6649 -1.6147 1.6470
-1.3072 -1.5305 4.3496

=====

> What is the formula in the sixth record?

CoAg2Pt